[1]
Computed, not measured: a geometry-optimized Cd3Pd2Au3 structure at the PBE-GGA level of DFT. Values from VASP.

## Properties
- energy (eV per formula unit) = -24.848
- energy of formation (eV/atom) = -0.236

Geometry as Quantum ESPRESSO input:
```
&SYSTEM
  ibrav = 0, nat = 8, ntyp = 3
/
ATOMIC_SPECIES
Cd 112.41 Cd.upf
Pd 106.42 Pd.upf
Au 196.97 Au.upf
ATOMIC_POSITIONS angstrom
Cd 1.242 -2.320 1.975
Cd -1.492 -4.420 0.312
Cd 3.100 0.695 3.431
Pd 3.713 -1.152 1.438
Pd 1.191 -3.960 -0.275
Au 3.765 -3.925 0.893
Au -0.309 -1.572 -0.461
Au 1.447 0.385 0.732
CELL_PARAMETERS angstrom
-1.369 -0.622 3.036
-1.330 -6.769 -1.987
6.234 1.657 3.151
```

[2]
Computed, not measured: a geometry-optimized AgP2Ir structure at the PBE-GGA level of DFT. Values from VASP.

## Properties
- energy (eV per formula unit) = -21.235
- energy of formation (eV/atom) = 0.324

Geometry as Quantum ESPRESSO input:
```
&SYSTEM
  ibrav = 0, nat = 4, ntyp = 3
/
ATOMIC_SPECIES
Ag 107.87 Ag.upf
Ir 192.22 Ir.upf
P 30.97 P.upf
ATOMIC_POSITIONS angstrom
Ag 4.369 -3.076 -0.540
Ir 2.586 -0.366 0.007
P 0.000 0.000 0.000
P 1.783 -2.710 -0.547
CELL_PARAMETERS angstrom
-0.321 -2.228 1.935
3.888 -3.191 -3.030
5.172 -0.733 0.015
```

Total magnetic moment per entry: 0.000, 0.000 μB/atom